No. 1
Density functional theory data (PBE) for an optimized crystal structure of NaLi2Sc.

The space group is Fm-3m (No. 225) and the conventional cell measures 7.288, 7.288 and 7.288 Å, with angles of 90.00, 90.00 and 90.00 degrees. The inequivalent atoms are Na at (0.000, 0.000, 0.000), Li at (0.250, 0.250, 0.250) and Sc at (0.000, 0.000, 0.500).

The magnetic moment is 0.00 μB/atom. The density is 1.4 g/cm³. The relative energy among the computed polymorphs comes out at 170.7 meV per atom. Its calculated formation energy is 130.8 kJ/mol of formula units.

No. 2
Density functional theory data (PBE) for an optimized crystal structure of La3ZrPd.

The space group is Pm-3m (No. 221) and the conventional cell measures 5.622, 5.622 and 5.622 Å, with angles of 90.00, 90.00 and 90.00 degrees. The inequivalent atoms are La at (0.000, 0.000, 0.500), Zr at (0.000, 0.000, 0.000) and Pd at (0.500, 0.500, 0.500).

The magnetic moment is 0.00 μB/atom. The density is 5.7 g/cm³. The relative energy among the computed polymorphs comes out at 337.5 meV per atom. Its calculated formation energy is 255.1 kJ/mol of formula units.

No. 3
Density functional theory data (PBE) for an optimized crystal structure of BaCdRe2.

The space group is Pmmm (No. 47) and the conventional cell measures 2.919, 4.651 and 6.996 Å, with angles of 90.00, 90.00 and 90.00 degrees. The inequivalent atoms are Ba at (0.000, 0.000, 0.000), Cd at (0.000, 0.000, 0.500) and Re at (0.500, 0.500, 0.336).

The magnetic moment is 0.00 μB/atom. The density is 10.9 g/cm³. Its calculated formation energy is 390.7 kJ/mol of formula units.